No. 1
Here is crystalline Np2Sb3 at its relaxed geometry from Alexandria via LeMat-Bulk. Energies are from GGA-PBE.

abc: 4.2275 4.2651 15.7408
angles: 90.00 90.00 90.00
Space group Imm2 (No. 44)
One atom of each set of equivalent atoms:
Np (0.0000, 0.0000, 0.0000)
Np (0.0000, 0.5000, 0.2500)
Sb (0.0000, 0.0000, 0.4046)
Sb (0.0000, 0.0000, 0.5932)
Sb (0.0000, 0.5000, 0.7481)

ρ (g cm⁻³): 9.82
Raw total energy (eV per atom): -7.685
Formation energy (no corrections) (meV per atom): -35

---

No. 2
Here is crystalline Nb2V4Si5 at its relaxed geometry from Alexandria via LeMat-Bulk. Energies are from GGA-PBE.

abc: 7.5668 16.3861 5.1335
angles: 90.00 90.00 90.00
Space group Ibam (No. 72)
One atom of each set of equivalent atoms:
Nb (0.0000, 0.1891, 0.2500)
V (0.1147, 0.3595, 0.0000)
V (0.2490, 0.0638, 0.0000)
Si (0.0000, 0.5000, 0.2500)
Si (0.0928, 0.0602, 0.5000)
Si (0.1950, 0.2919, 0.5000)

ρ (g cm⁻³): 5.53
Raw total energy (eV per atom): -8.025
Formation energy (no corrections) (meV per atom): -413

---

No. 3
Here is crystalline Tl2Bi2Pd5 at its relaxed geometry from Alexandria via LeMat-Bulk. Energies are from GGA-PBE.

abc: 13.5379 4.7723 7.6762
angles: 90.00 122.52 90.00
Space group C2/m (No. 12)
One atom of each set of equivalent atoms:
Tl (0.1621, 0.0000, 0.3409)
Bi (0.1554, 0.5000, 0.8387)
Pd (0.0000, 0.5000, 0.0000)
Pd (0.0799, 0.0000, 0.9132)
Pd (0.0873, 0.5000, 0.4303)

Calculated formation energy (kJ per mole of atoms): -13.7
E above lowest polymorph (eV per atom): 0.026
ρ (g cm⁻³): 10.79
Raw total energy (eV per atom): -4.415

---

No. 4
Here is crystalline Li2Cd2Ag7 at its relaxed geometry from Alexandria via LeMat-Bulk. Energies are from GGA-PBE.

abc: 9.6412 9.4902 5.0644
angles: 90.00 117.15 90.00
Space group C2/m (No. 12)
One atom of each set of equivalent atoms:
Li (0.2401, 0.0000, 0.4504)
Cd (0.0000, 0.2920, 0.5000)
Ag (0.0000, 0.5000, 0.0000)
Ag (0.0948, 0.0000, 0.8238)
Ag (0.1720, 0.2547, 0.1737)

Calculated formation energy (kJ per mole of atoms): -4.3
E above lowest polymorph (eV per atom): 0.007
ρ (g cm⁻³): 8.00
Raw total energy (eV per atom): -2.374

---

What did the second record say?
Here is crystalline Nb2V4Si5 at its relaxed geometry from Alexandria via LeMat-Bulk. Energies are from GGA-PBE.

abc: 7.5668 16.3861 5.1335
angles: 90.00 90.00 90.00
Space group Ibam (No. 72)
One atom of each set of equivalent atoms:
Nb (0.0000, 0.1891, 0.2500)
V (0.1147, 0.3595, 0.0000)
V (0.2490, 0.0638, 0.0000)
Si (0.0000, 0.5000, 0.2500)
Si (0.0928, 0.0602, 0.5000)
Si (0.1950, 0.2919, 0.5000)

ρ (g cm⁻³): 5.53
Raw total energy (eV per atom): -8.025
Formation energy (no corrections) (meV per atom): -413